No. 1
# Cs3VSe4

A PBEsol-optimized structure of Cs3VSe4 (SCAN, the Alexandria database).

Space-group type: I-43m, No. 217
ΔE_f (raw) in eV/atom: -1.22
N(E_F) in states/eV/cell: 0.0
Crystal system: cubic
Volume in Å³/atom: 37.839

```
Cs3VSe4
1.0
7.326 0.000 0.000
-2.442 6.907 0.000
-2.442 -3.454 5.982
Se Cs V
4 3 1
Cartesian
1.682 2.379 4.121 Se
-0.760 -1.075 1.861 Se
2.279 0.000 0.000 Se
-0.760 2.149 0.000 Se
-2.442 1.727 2.991 Cs
2.442 -1.727 2.991 Cs
2.442 3.454 0.000 Cs
0.000 0.000 0.000 V
```

---

No. 2
# CsVSe3

A PBEsol-optimized structure of CsVSe3 (SCAN, the Alexandria database).

Space-group type: C222_1, No. 20
ΔE_f (raw) in eV/atom: -0.99
N(E_F) in states/eV/cell: 2.2
Crystal system: orthorhombic
Volume in Å³/atom: 27.289

```
CsVSe3
1.0
-2.210 3.311 4.014
-4.365 -5.565 2.187
6.791 0.806 3.075
Se Cs V
6 2 2
Cartesian
0.828 0.236 2.252 Se
-1.957 0.770 4.003 Se
4.465 0.704 4.124 Se
2.315 -2.431 5.015 Se
-4.391 -1.939 5.409 Se
-0.613 -1.683 7.023 Se
1.308 1.212 5.692 Cs
-1.092 -2.659 3.583 Cs
-0.238 -0.303 0.119 V
-5.232 -3.606 4.075 V
```

---

No. 3
# CsWSe2

A PBEsol-optimized structure of CsWSe2 (SCAN, the Alexandria database).

Space-group type: I-42d, No. 122
ΔE_f (raw) in eV/atom: -0.28
N(E_F) in states/eV/cell: 5.3
Crystal system: tetragonal
Volume in Å³/atom: 32.559

```
CsWSe2
1.0
-1.214 5.377 -4.307
-3.010 -5.953 -2.108
-6.754 1.791 -0.338
W Se Cs
2 4 2
Cartesian
0.000 0.000 0.000 W
-3.048 1.648 -2.765 W
-2.624 3.446 -4.285 Se
-4.283 0.117 -4.126 Se
-0.877 1.243 -1.846 Se
-4.408 1.787 -0.802 Se
-7.930 -0.433 -3.987 Cs
-4.882 -2.081 -1.223 Cs
```

---

No. 4
# CsZn3Se

A PBEsol-optimized structure of CsZn3Se (SCAN, the Alexandria database).

Space-group type: Pm-3m, No. 221
ΔE_f (raw) in eV/atom: 1.03
N(E_F) in states/eV/cell: 8.7
Crystal system: cubic
Volume in Å³/atom: 55.720

```
CsZn3Se
1.0
6.531 0.000 0.000
0.000 6.531 0.000
0.000 0.000 6.531
Cs Se Zn
1 1 3
Cartesian
0.000 0.000 0.000 Cs
3.266 3.266 3.266 Se
0.000 0.000 3.266 Zn
3.266 0.000 0.000 Zn
0.000 3.266 0.000 Zn
```

---

No. 5
# CsZnSe3

A PBEsol-optimized structure of CsZnSe3 (SCAN, the Alexandria database).

Space-group type: Pm-3m, No. 221
ΔE_f (raw) in eV/atom: -0.26
N(E_F) in states/eV/cell: 4.8
Crystal system: cubic
Volume in Å³/atom: 25.958

```
CsZnSe3
1.0
-3.751 -3.046 -1.513
-0.741 -1.466 4.789
-3.319 3.770 0.640
Se Zn Cs
3 1 1
Cartesian
-0.371 -0.733 2.395 Se
-1.876 -1.523 -0.756 Se
-1.659 1.885 0.320 Se
0.000 0.000 0.000 Zn
-3.906 -0.371 1.958 Cs
```

---

No. 6
# Cs2ZnSe2

A PBEsol-optimized structure of Cs2ZnSe2 (SCAN, the Alexandria database).

Space-group type: I4/mmm, No. 139
ΔE_f (raw) in eV/atom: -1.04
N(E_F) in states/eV/cell: 0.0
Crystal system: tetragonal
Volume in Å³/atom: 60.684

```
Cs2ZnSe2
1.0
6.892 0.000 0.000
0.000 6.892 0.000
-3.446 -3.446 6.387
Se Cs Zn
2 2 1
Cartesian
3.446 3.446 4.160 Se
0.000 0.000 2.227 Se
3.446 0.000 3.194 Cs
0.000 3.446 3.194 Cs
0.000 0.000 0.000 Zn
```

---

- Which value of volume does entry 3 give?
  32.559 Å³/atom

---

- Which value of volume does entry 6 give?
  60.684 Å³/atom

---

- Among the records above, which one has the highest ΔE_f (raw)?
  CsZn3Se